No. 1
Density functional theory data (PBE) for an optimized crystal structure of La3PmTh.

## Properties
* space-group type: P6_3mc
* energy of formation: 17 meV/atom
* energy above the lowest structure with this stoichiometry: 0 meV/atom
* density: 7.48 g/cm3
* raw total energy: -53.736 eV per cell

Geometry as POSCAR:
```
La3PmTh
1.0
3.672 0.000 0.000
-1.836 3.180 0.000
0.000 0.000 30.177
La Pm Th
6 2 2
direct
0.000 0.000 0.000
0.000 0.000 0.500
0.333 0.667 0.106
0.333 0.667 0.797
0.667 0.333 0.297
0.667 0.333 0.606
0.333 0.667 0.402
0.667 0.333 0.902
0.000 0.000 0.202
0.000 0.000 0.702
```

***

No. 2
Density functional theory data (PBE) for an optimized crystal structure of La2Pm6Th.

## Properties
* space-group type: P-6m2
* energy of formation: 73 meV/atom
* density: 7.26 g/cm3
* raw total energy: -45.119 eV per cell

Geometry as POSCAR:
```
La2Pm6Th
1.0
3.644 0.000 0.000
-1.822 3.156 0.000
0.000 0.000 27.423
La Pm Th
2 6 1
direct
0.000 0.000 0.170
0.000 0.000 0.830
0.000 0.000 0.393
0.000 0.000 0.607
0.667 0.333 0.062
0.667 0.333 0.284
0.667 0.333 0.716
0.667 0.333 0.938
0.667 0.333 0.500
```

***

No. 3
Density functional theory data (PBE) for an optimized crystal structure of LaPmTh4.

## Properties
* space-group type: P4/mmm
* energy of formation: 47 meV/atom
* density: 10.12 g/cm3
* raw total energy: -39.074 eV per cell

Geometry as POSCAR:
```
LaPmTh4
1.0
3.612 0.000 0.000
0.000 3.612 0.000
0.000 0.000 15.245
La Pm Th
1 1 4
direct
0.000 0.000 0.000
0.500 0.500 0.500
0.000 0.000 0.330
0.000 0.000 0.670
0.500 0.500 0.172
0.500 0.500 0.828
```

***

No. 4
Density functional theory data (PBE) for an optimized crystal structure of LaPm2Th.

## Properties
* space-group type: P4/mmm
* energy of formation: 59 meV/atom
* energy above the lowest structure with this stoichiometry: 35 meV/atom
* density: 8.02 g/cm3
* raw total energy: -21.611 eV per cell

Geometry as POSCAR:
```
LaPm2Th
1.0
5.165 0.000 0.000
0.000 5.165 0.000
0.000 0.000 5.131
La Pm Th
1 2 1
direct
0.000 0.000 0.000
0.000 0.500 0.500
0.500 0.000 0.500
0.500 0.500 0.000
```

***

No. 5
Density functional theory data (PBE) for an optimized crystal structure of La6Pm3Th.

## Properties
* space-group type: P2_1/c
* energy of formation: 37 meV/atom
* density: 7.03 g/cm3
* raw total energy: -101.729 eV per cell

Geometry as POSCAR:
```
La6Pm3Th
1.0
3.714 0.000 0.000
0.000 6.348 0.000
-0.068 0.000 30.048
La Pm Th
12 6 2
direct
0.001 0.164 0.301
0.001 0.336 0.801
0.002 0.664 0.900
0.002 0.836 0.400
0.497 0.655 0.598
0.497 0.845 0.098
0.503 0.155 0.902
0.503 0.345 0.402
0.998 0.164 0.600
0.998 0.336 0.100
0.999 0.664 0.199
0.999 0.836 0.699
0.498 0.662 0.301
0.498 0.838 0.801
0.500 0.000 0.500
0.500 0.500 0.000
0.502 0.162 0.199
0.502 0.338 0.699
0.000 0.000 0.000
0.000 0.500 0.500
```

***

No. 6
Density functional theory data (PBE) for an optimized crystal structure of La12Pm3Th.

## Properties
* space-group type: P4/mmm
* energy of formation: 17 meV/atom
* density: 6.77 g/cm3
* raw total energy: -80.536 eV per cell

Geometry as POSCAR:
```
La12Pm3Th
1.0
5.227 0.000 0.000
0.000 5.227 0.000
0.000 0.000 20.959
La Pm Th
12 3 1
direct
0.000 0.000 0.000
0.000 0.000 0.248
0.000 0.000 0.500
0.000 0.000 0.752
0.000 0.500 0.125
0.000 0.500 0.380
0.000 0.500 0.620
0.000 0.500 0.875
0.500 0.000 0.125
0.500 0.000 0.380
0.500 0.000 0.620
0.500 0.000 0.875
0.500 0.500 0.000
0.500 0.500 0.250
0.500 0.500 0.750
0.500 0.500 0.500
```

***

No. 7
Density functional theory data (PBE) for an optimized crystal structure of La6Pm10Th.

## Properties
* space-group type: P-31m
* energy of formation: 142 meV/atom
* density: 6.88 g/cm3
* raw total energy: -82.076 eV per cell

Geometry as POSCAR:
```
La6Pm10Th
1.0
9.888 0.000 0.000
-4.944 8.563 0.000
0.000 0.000 7.168
La Pm Th
6 10 1
direct
0.000 0.374 0.302
0.000 0.626 0.698
0.374 0.000 0.302
0.374 0.374 0.698
0.626 0.000 0.698
0.626 0.626 0.302
0.000 0.269 0.819
0.000 0.731 0.181
0.269 0.000 0.819
0.269 0.269 0.181
0.333 0.667 0.000
0.333 0.667 0.500
0.667 0.333 0.000
0.667 0.333 0.500
0.731 0.000 0.181
0.731 0.731 0.819
0.000 0.000 0.500
```

***

No. 8
Density functional theory data (PBE) for an optimized crystal structure of La9Pm2Th.

## Properties
* space-group type: P4/mmm
* energy of formation: 18 meV/atom
* density: 6.89 g/cm3
* raw total energy: -61.056 eV per cell

Geometry as POSCAR:
```
La9Pm2Th
1.0
5.221 0.000 0.000
0.000 5.221 0.000
0.000 0.000 15.675
La Pm Th
9 2 1
direct
0.000 0.000 0.000
0.000 0.000 0.334
0.000 0.000 0.666
0.000 0.500 0.161
0.000 0.500 0.500
0.000 0.500 0.839
0.500 0.000 0.161
0.500 0.000 0.500
0.500 0.000 0.839
0.500 0.500 0.334
0.500 0.500 0.666
0.500 0.500 0.000
```